Entry 1:
Tb3Se2: relaxed, GGA-PBE.

a = 3.9426 Å, b = 3.9426 Å, c = 10.2599 Å
α = 78.92°, β = 78.92°, γ = 60.00°
Element x y z (fractional)
Tb 0.0000 0.0000 0.0000
Tb 0.7866 0.7866 0.6401
Tb 0.2134 0.2134 0.3599
Se 0.3919 0.3919 0.8243
Se 0.6081 0.6081 0.1757

- calculated volume (Å³/atom) = 26.94
- calculated density (g/cm³) = 7.83
- ΔE_f (raw) (eV/f.u.) = -6.96
- DFT total energy (eV/atom) = -5.563
- E above lowest polymorph (meV/atom) = 0.0

***

Entry 2:
Tb3Se2: relaxed, GGA-PBE.

a = 6.9668 Å, b = 6.9668 Å, c = 7.7322 Å
α = 63.22°, β = 63.22°, γ = 60.00°
Element x y z (fractional)
Tb 0.0815 0.7500 0.7500
Tb 0.7500 0.4185 0.7500
Tb 0.4185 0.0815 0.7500
Tb 0.2500 0.5815 0.2500
Tb 0.5815 0.9185 0.2500
Tb 0.9185 0.2500 0.2500
Se 0.8368 0.8368 0.4895
Se 0.3368 0.3368 0.9895
Se 0.1632 0.1632 0.5105
Se 0.6632 0.6632 0.0105

- calculated volume (Å³/atom) = 27.76
- calculated density (g/cm³) = 7.59
- ΔE_f (raw) (eV/f.u.) = -6.51
- DFT total energy (eV/atom) = -5.474
- E above lowest polymorph (meV/atom) = 89.0

***

Entry 3:
Tb2Se: relaxed, GGA-PBE.

a = 6.7632 Å, b = 3.8796 Å, c = 9.6333 Å
α = 90.00°, β = 91.81°, γ = 106.67°
Element x y z (fractional)
Tb 0.1351 0.0676 0.2805
Tb 0.8649 0.9324 0.7195
Tb 0.2831 0.6416 0.5663
Tb 0.7040 0.3520 0.0681
Tb 0.2960 0.6480 0.9319
Tb 0.7169 0.3584 0.4337
Se 0.0000 0.0000 0.0000
Se 0.4682 0.7341 0.2359
Se 0.5318 0.2659 0.7641

- calculated volume (Å³/atom) = 26.89
- calculated density (g/cm³) = 8.17
- ΔE_f (raw) (eV/f.u.) = -3.17
- DFT total energy (eV/atom) = -5.307

***

Entry 4:
Tb3Se4: relaxed, GGA-PBE.

a = 5.7740 Å, b = 5.7740 Å, c = 7.0279 Å
α = 114.25°, β = 114.25°, γ = 90.00°
Element x y z (fractional)
Tb 0.7500 0.2500 0.5000
Tb 0.2500 0.7500 0.5000
Tb 0.0000 0.0000 0.0000
Se 0.2528 0.2528 0.5056
Se 0.0000 0.5000 0.0000
Se 0.5000 0.0000 0.0000
Se 0.7472 0.7472 0.4944

- calculated volume (Å³/atom) = 27.24
- calculated density (g/cm³) = 6.90
- ΔE_f (raw) (eV/f.u.) = -12.93
- DFT total energy (eV/atom) = -5.822
- E above lowest polymorph (meV/atom) = 0.0

***

Entry 5:
Tb3Se: relaxed, GGA-PBE.

a = 3.6965 Å, b = 6.4217 Å, c = 6.0605 Å
α = 121.99°, β = 107.76°, γ = 90.00°
Element x y z (fractional)
Tb 0.3054 0.6465 0.6109
Tb 0.5000 0.4117 0.0000
Tb 0.6946 0.0357 0.3891
Se 0.0000 0.0728 0.0000

- calculated volume (Å³/atom) = 28.46
- calculated density (g/cm³) = 8.11
- ΔE_f (raw) (eV/f.u.) = -2.81
- DFT total energy (eV/atom) = -5.046
- E above lowest polymorph (meV/atom) = 0.0

***

Entry 6:
TbSe2: relaxed, GGA-PBE.

a = 4.0774 Å, b = 4.0774 Å, c = 8.3938 Å
α = 90.00°, β = 90.00°, γ = 90.00°
Element x y z (fractional)
Tb 0.0000 0.5000 0.2736
Tb 0.5000 0.0000 0.7264
Se 0.5000 0.5000 0.0000
Se 0.0000 0.0000 0.0000
Se 0.5000 0.0000 0.3697
Se 0.0000 0.5000 0.6303

- calculated volume (Å³/atom) = 23.26
- calculated density (g/cm³) = 7.54
- ΔE_f (raw) (eV/f.u.) = -4.74
- DFT total energy (eV/atom) = -5.446

***

Entry 7:
TbSe: relaxed, GGA-PBE.

a = 3.9283 Å, b = 3.9283 Å, c = 7.4002 Å
α = 90.00°, β = 90.00°, γ = 120.00°
Element x y z (fractional)
Tb 0.0000 0.0000 0.5000
Tb 0.0000 0.0000 0.0000
Se 0.3333 0.6667 0.7500
Se 0.6667 0.3333 0.2500

- calculated volume (Å³/atom) = 24.72
- calculated density (g/cm³) = 7.99
- ΔE_f (raw) (eV/f.u.) = -3.43
- DFT total energy (eV/atom) = -5.773

***

Entry 8:
TbSe: relaxed, GGA-PBE.

a = 4.9011 Å, b = 4.9011 Å, c = 5.7212 Å
α = 90.00°, β = 90.00°, γ = 120.00°
Element x y z (fractional)
Tb 0.6667 0.3333 0.4375
Tb 0.3333 0.6667 0.9375
Se 0.6667 0.3333 0.9375
Se 0.3333 0.6667 0.4375

- calculated volume (Å³/atom) = 29.75
- calculated density (g/cm³) = 6.64
- ΔE_f (raw) (eV/f.u.) = -3.07
- DFT total energy (eV/atom) = -5.595

***

Number 1: spin magnetization 0.57 μB/f.u.. Number 2: spin magnetization 0.00 μB/f.u.. Number 3: spin magnetization 0.17 μB/f.u.. Number 4: spin magnetization 0.00 μB/f.u.. Number 5: spin magnetization 0.00 μB/f.u.. Number 6: spin magnetization 0.00 μB/f.u.. Number 7: spin magnetization 0.00 μB/f.u.. Number 8: spin magnetization 0.00 μB/f.u..